Record 1
First-principles (GGA-PBE) data for an optimized crystal structure of ZnW, as listed in OQMD via LeMat-Bulk.

a b c (Å): 4.660 5.782 4.617
angles (deg): 90.00 90.00 90.00
Element x y z (fractional)
Zn1 0.966 0.018 0.000
Zn2 0.368 0.018 0.500
Zn3 0.466 0.232 0.000
Zn4 0.868 0.232 0.500
W1 0.390 0.520 0.500
W2 0.444 0.730 0.000
W3 0.944 0.520 0.000
W4 0.890 0.730 0.500

Values from the calculation:
crystal system = orthorhombic
excess energy over the best structure of this formula in the dataset = 0.0662 eV per atom
DFT formation energy = 0.289 eV per atom
space group = No. 57

Record 2
First-principles (GGA-PBE) data for an optimized crystal structure of Nb2CO, as listed in OQMD via LeMat-Bulk.

a b c (Å): 11.581 11.581 11.581
angles (deg): 15.73 15.73 15.73
Element x y z (fractional)
Nb1 0.740 0.740 0.740
Nb2 0.000 0.000 0.000
Nb3 0.260 0.260 0.260
Nb4 0.500 0.500 0.500
C1 0.627 0.627 0.627
C2 0.373 0.373 0.373
O1 0.801 0.801 0.801
O2 0.199 0.199 0.199

Values from the calculation:
total energy = -0.3551 hartree per atom
crystal system = trigonal
space group = No. 166

Record 3
First-principles (GGA-PBE) data for an optimized crystal structure of Pm3Co2Sn7, as listed in OQMD via LeMat-Bulk.

a b c (Å): 4.583 4.567 13.899
angles (deg): 90.00 99.48 90.00
Element x y z (fractional)
Co1 0.372 0.500 0.745
Co2 0.628 0.500 0.255
Sn1 0.000 0.000 0.000
Sn2 0.718 0.500 0.435
Sn3 0.590 0.000 0.181
Sn4 0.410 0.000 0.819
Sn5 0.091 0.500 0.182
Sn6 0.909 0.500 0.818
Sn7 0.282 0.500 0.565
Pm1 0.815 0.000 0.630
Pm2 0.185 0.000 0.370
Pm3 0.500 0.500 0.000

Values from the calculation:
total energy = -0.1918 hartree per atom
crystal system = monoclinic
space group = No. 10

Record 4
First-principles (GGA-PBE) data for an optimized crystal structure of ZrSiN2O, as listed in OQMD via LeMat-Bulk.

a b c (Å): 3.312 3.410 4.545
angles (deg): 90.00 90.00 90.00
Element x y z (fractional)
Si1 0.500 0.000 0.555
Zr1 0.000 0.500 0.002
N1 0.500 0.500 0.679
N2 0.500 0.000 0.175
O1 0.000 0.000 0.695

Values from the calculation:
total energy = -0.3166 hartree per atom
crystal system = orthorhombic
space group = No. 25

Record 5
First-principles (GGA-PBE) data for an optimized crystal structure of Sr2PrS3, as listed in OQMD via LeMat-Bulk.

a b c (Å): 4.180 4.180 10.422
angles (deg): 90.00 90.00 120.00
Element x y z (fractional)
Sr1 0.333 0.667 0.669
Sr2 0.667 0.333 0.331
Pr1 0.000 0.000 0.000
S1 0.000 0.000 0.500
S2 0.667 0.333 0.840
S3 0.333 0.667 0.160

Values from the calculation:
total energy = -0.2022 hartree per atom
crystal system = trigonal
space group = No. 164

Record 6
First-principles (GGA-PBE) data for an optimized crystal structure of LiScGaPd, as listed in OQMD via LeMat-Bulk.

a b c (Å): 4.483 4.483 4.483
angles (deg): 60.00 60.00 60.00
Element x y z (fractional)
Li1 0.500 0.500 0.500
Sc1 0.250 0.250 0.250
Ga1 0.750 0.750 0.750
Pd1 0.000 0.000 0.000

Values from the calculation:
crystal system = cubic
excess energy over the best structure of this formula in the dataset = 0.0001 eV per atom
space group = No. 216

Record 7
First-principles (GGA-PBE) data for an optimized crystal structure of Ho2ErMg3TlGa2, as listed in OQMD via LeMat-Bulk.

a b c (Å): 4.540 7.290 7.290
angles (deg): 119.92 90.00 90.00
Element x y z (fractional)
Ga1 0.500 0.334 0.666
Ga2 0.500 0.666 0.334
Ho1 0.000 0.438 0.000
Ho2 0.000 0.000 0.438
Tl1 0.000 0.999 0.999
Er1 0.000 0.562 0.562
Mg1 0.500 0.750 0.000
Mg2 0.500 0.250 0.250
Mg3 0.500 0.000 0.750

Values from the calculation:
total energy = -0.1251 hartree per atom
crystal system = orthorhombic
space group = No. 38

Record 8
First-principles (GGA-PBE) data for an optimized crystal structure of Sr2IrPt, as listed in OQMD via LeMat-Bulk.

a b c (Å): 5.030 5.030 5.030
angles (deg): 60.00 60.00 60.00
Element x y z (fractional)
Sr1 0.750 0.750 0.750
Sr2 0.000 0.000 0.000
Pt1 0.250 0.250 0.250
Ir1 0.500 0.500 0.500

Values from the calculation:
total energy = -0.1668 hartree per atom
crystal system = cubic
space group = No. 216

Record 9
First-principles (GGA-PBE) data for an optimized crystal structure of BaErGa, as listed in OQMD via LeMat-Bulk.

a b c (Å): 5.279 5.279 5.279
angles (deg): 60.00 60.00 60.00
Element x y z (fractional)
Er1 0.250 0.250 0.250
Ba1 0.000 0.000 0.000
Ga1 0.750 0.750 0.750

Values from the calculation:
crystal system = cubic
excess energy over the best structure of this formula in the dataset = 0.3298 eV per atom
space group = No. 216

Record 10
First-principles (GGA-PBE) data for an optimized crystal structure of KTmNp, as listed in OQMD via LeMat-Bulk.

a b c (Å): 5.534 5.534 5.534
angles (deg): 60.00 60.00 60.00
Element x y z (fractional)
K1 0.250 0.250 0.250
Np1 0.750 0.750 0.750
Tm1 0.000 0.000 0.000

Values from the calculation:
crystal system = cubic
excess energy over the best structure of this formula in the dataset = 0.0000 eV per atom
space group = No. 216

Record 11
First-principles (GGA-PBE) data for an optimized crystal structure of RbSmSnSe3, as listed in OQMD via LeMat-Bulk.

a b c (Å): 8.633 8.633 12.089
angles (deg): 90.00 90.00 151.75
Element x y z (fractional)
Se1 0.881 0.119 0.010
Se2 0.501 0.499 0.250
Se3 0.119 0.881 0.510
Se4 0.499 0.501 0.750
Se5 0.119 0.881 0.990
Se6 0.881 0.119 0.490
Sm1 0.500 0.500 0.500
Sm2 0.500 0.500 0.000
Rb1 0.809 0.191 0.750
Rb2 0.191 0.809 0.250
Sn1 0.891 0.109 0.250
Sn2 0.109 0.891 0.750

Values from the calculation:
crystal system = orthorhombic
excess energy over the best structure of this formula in the dataset = 0.1165 eV per atom
space group = No. 63

Record 12
First-principles (GGA-PBE) data for an optimized crystal structure of Nd2HoNiSn3Ir2, as listed in OQMD via LeMat-Bulk.

a b c (Å): 4.004 7.495 7.495
angles (deg): 119.65 90.00 90.00
Element x y z (fractional)
Sn1 0.500 0.750 0.997
Sn2 0.500 0.997 0.750
Sn3 0.500 0.250 0.250
Ir1 0.500 0.663 0.341
Ir2 0.500 0.341 0.663
Ho1 0.000 0.591 0.591
Nd1 0.000 0.000 0.411
Nd2 0.000 0.411 0.000
Ni1 0.000 0.995 0.995

Values from the calculation:
total energy = -0.2292 hartree per atom
crystal system = orthorhombic
space group = No. 38